Here is a relaxed structure of La2ZrCr from Alexandria via LeMat-Bulk. Energies are from GGA-PBE.

POSCAR file:
```
La2ZrCr
1.0
4.988 0.000 0.000
0.000 1.757 6.456
0.000 -1.757 6.456
La Zr Cr
2 1 1
direct
0.000 0.000 0.000
0.500 0.320 0.320
0.500 0.602 0.602
0.000 0.715 0.715
```

- Formation energy: 0.37 eV/atom
- Uncorrected energy: -26.53 eV for the cell shown

---

Here is a relaxed structure of Tb2Pr2TmSc from Alexandria via LeMat-Bulk. Energies are from GGA-PBE.

POSCAR file:
```
Tb2Pr2TmSc
1.0
6.907 0.000 0.000
0.000 5.618 0.000
0.000 0.000 9.737
Tb Pr Tm Sc
4 4 2 2
direct
0.250 0.000 0.165
0.250 0.500 0.667
0.750 0.000 0.835
0.750 0.500 0.333
0.000 0.000 0.500
0.250 0.500 0.315
0.500 0.000 0.500
0.750 0.500 0.685
0.250 0.000 0.846
0.750 0.000 0.154
0.000 0.500 0.000
0.500 0.500 0.000
```

- Formation energy: 0.10 eV/atom
- Uncorrected energy: -58.05 eV for the cell shown